ZnFeSnTe3 | GGA-PBE | relaxed

Cell and atoms, written as extended XYZ:
```
12
Lattice="2.0532 -7.2233 0.0000 2.0532 7.2233 0.0000 0.0000 0.0000 10.4676" Properties=species:S:1:pos:R:3 pbc="T T T"
Zn 2.0532 6.7755 7.8507
Zn 2.0532 -6.7755 2.6169
Fe 2.0532 0.0000 0.0000
Fe 2.0532 0.0000 5.2338
Sn 2.0532 3.3625 2.6169
Sn 2.0532 -3.3625 7.8507
Te 2.0532 5.2461 5.7139
Te 2.0532 5.2461 9.9875
Te 2.0532 1.2162 7.8507
Te 2.0532 -1.2162 2.6169
Te 2.0532 -5.2461 0.4801
Te 2.0532 -5.2461 4.7537
```

Properties
- Electronic total energy: -0.283 Ry/atom
- Energy above the most stable polymorph in this dataset: 0.0 meV per atom
- Symmetry: Cmcm, No. 63
- Calculated density: 6.7 g cm⁻³

YCoAgPb | GGA-PBE | relaxed

Cell and atoms, written as extended XYZ:
```
16
Lattice="6.8562 0.0000 0.0000 0.0000 6.8562 0.0000 0.0000 0.0000 6.8562" Properties=species:S:1:pos:R:3 pbc="T T T"
Y 0.0000 0.0000 0.0000
Y 0.0000 3.4281 3.4281
Y 3.4281 0.0000 3.4281
Y 3.4281 3.4281 0.0000
Co 0.0000 0.0000 3.4281
Co 0.0000 3.4281 0.0000
Co 3.4281 0.0000 0.0000
Co 3.4281 3.4281 3.4281
Ag 1.7140 1.7140 5.1421
Ag 1.7140 5.1421 1.7140
Ag 5.1421 1.7140 1.7140
Ag 5.1421 5.1421 5.1421
Pb 1.7140 1.7140 1.7140
Pb 1.7140 5.1421 5.1421
Pb 5.1421 1.7140 5.1421
Pb 5.1421 5.1421 1.7140
```

Properties
- Electronic total energy: -0.364 Ry/atom
- Energy above the most stable polymorph in this dataset: 95.4 meV per atom
- Symmetry: F-43m, No. 216
- Calculated density: 9.5 g cm⁻³

YSnAuS3 | GGA-PBE | relaxed

Cell and atoms, written as extended XYZ:
```
12
Lattice="2.0315 -7.1358 0.0000 2.0315 7.1358 0.0000 0.0000 0.0000 10.2747" Properties=species:S:1:pos:R:3 pbc="T T T"
Y 0.0000 0.0000 0.0000
Y 0.0000 0.0000 5.1374
Sn 2.0315 2.7284 7.7060
Sn 2.0315 -2.7284 2.5687
Au 2.0315 2.1688 2.5687
Au 2.0315 -2.1688 7.7060
S 2.0315 6.2213 2.5687
S 2.0315 1.8592 0.2383
S 2.0315 1.8592 4.8990
S 2.0315 -1.8592 5.3757
S 2.0315 -1.8592 10.0364
S 2.0315 -6.2213 7.7060
```

Properties
- Electronic total energy: -0.395 Ry/atom
- Energy above the most stable polymorph in this dataset: 16.9 meV per atom
- Symmetry: Cmcm, No. 63
- Calculated density: 5.6 g cm⁻³